[1]
Computed, not measured: crystalline AcPr2TiO6 at its relaxed geometry at the GGA-PBE level of DFT.

The structure in POSCAR format:
```
AcPr2TiO6
1.0
5.548 0.000 0.000
0.000 5.548 0.000
0.000 0.000 5.647
Ac Pr Ti O
1 2 1 6
direct
0.000 0.000 0.000 Ac
0.000 0.500 0.453 Pr
0.500 0.000 0.453 Pr
0.500 0.500 0.073 Ti
0.000 0.000 0.581 O
0.269 0.269 0.217 O
0.269 0.731 0.217 O
0.500 0.500 0.750 O
0.731 0.269 0.217 O
0.731 0.731 0.217 O
```

Summary:
The total magnetization is 0.083 μB/atom. The calculated volume comes out at 173.8 Å³/cell. As for the space group: No. 99. The value obtained for the raw formation energy is -69.261 kcal/mol of atoms. As for the total energy: -8.135 eV per atom.

=====

[2]
Computed, not measured: crystalline Nd3BiOs at its relaxed geometry at the GGA-PBE level of DFT.

The structure in POSCAR format:
```
Nd3BiOs
1.0
5.528 0.000 0.000
0.000 5.528 0.000
0.000 0.000 5.528
Nd Bi Os
3 1 1
direct
0.000 0.000 0.500 Nd
0.000 0.500 0.000 Nd
0.500 0.000 0.000 Nd
0.500 0.500 0.500 Bi
0.000 0.000 0.000 Os
```

Summary:
The total magnetization is 0.000 μB/atom. The calculated volume comes out at 169.0 Å³/cell. As for the space group: No. 221. As for the total energy: -6.066 eV per atom. The formation energy is -0.18 eV/atom.

=====

[3]
Computed, not measured: crystalline SnPd2Pt7 at its relaxed geometry at the GGA-PBE level of DFT.

The structure in POSCAR format:
```
SnPd2Pt7
1.0
3.589 -6.576 0.000
3.589 6.576 0.000
0.000 0.000 4.342
Sn Pd Pt
1 2 7
direct
0.000 0.000 0.000 Sn
0.299 0.701 0.500 Pd
0.701 0.299 0.500 Pd
0.078 0.290 0.500 Pt
0.196 0.804 0.000 Pt
0.290 0.078 0.500 Pt
0.500 0.500 0.500 Pt
0.710 0.922 0.500 Pt
0.804 0.196 0.000 Pt
0.922 0.710 0.500 Pt
```

Summary:
The total magnetization is 0.000 μB/atom. The calculated volume comes out at 204.9 Å³/cell. As for the space group: No. 65. As for the total energy: -5.320 eV per atom. The formation energy is 0.35 eV/atom.

=====

> Number 3 is which compound?

SnPd2Pt7

=====

> Among the records above, which one has the highest calculated volume?

SnPd2Pt7

=====

> Among the records above, which one has the lowest calculated volume?

Nd3BiOs